Record 1
Here is a geometry-optimized NdCoGe3 structure from Alexandria via LeMat-Bulk. Energies are from PBE.

density of states at the Fermi level = 0.486 states/eV per atom
formation enthalpy at 0 K = -0.52 eV per atom
calculated volume = 18.60 Å³/atom
total magnetic moment = 0.0 μB per cell

Cell and atoms, written as CIF:
```
data_NdCoGe3
_cell_length_a 4.4057
_cell_length_b 4.4078
_cell_length_c 19.1589
_cell_angle_alpha 90.00
_cell_angle_beta 90.00
_cell_angle_gamma 90.00
_symmetry_space_group_name_H-M 'I m m a'
_symmetry_Int_Tables_number 74
_symmetry_space_group_name_Hall '-I 2b 2'
loop_
_atom_site_label
_atom_site_fract_x
_atom_site_fract_y
_atom_site_fract_z
Nd1 0.0000 0.2500 0.1632
Co1 0.0000 0.2500 0.5892
Ge1 0.0000 0.2500 0.4548
Ge2 0.0000 0.2500 0.7116
Ge3 0.0000 0.2500 0.9538
```


Record 2
Here is a geometry-optimized Sm6ScTl3 structure from Alexandria via LeMat-Bulk. Energies are from PBE.

density of states at the Fermi level = 1.274 states/eV per atom
formation enthalpy at 0 K = -0.18 eV per atom
calculated volume = 30.30 Å³/atom
total magnetic moment = 0.0 μB per cell

Cell and atoms, written as CIF:
```
data_Sm6ScTl3
_cell_length_a 10.1571
_cell_length_b 5.2969
_cell_length_c 11.5901
_cell_angle_alpha 90.00
_cell_angle_beta 103.62
_cell_angle_gamma 90.00
_symmetry_space_group_name_H-M 'P 1 21/m 1'
_symmetry_Int_Tables_number 11
_symmetry_space_group_name_Hall '-P 2yb'
loop_
_atom_site_label
_atom_site_fract_x
_atom_site_fract_y
_atom_site_fract_z
Sm1 0.0531 0.2500 0.4085
Sm2 0.1547 0.7500 0.1819
Sm3 0.2479 0.2500 0.9971
Sm4 0.3198 0.7500 0.7991
Sm5 0.3846 0.2500 0.3088
Sm6 0.3887 0.2500 0.6094
Sc1 0.4612 0.7500 0.0993
Tl1 0.0341 0.7500 0.8908
Tl2 0.1174 0.2500 0.7076
Tl3 0.2810 0.7500 0.4686
```